Entry 1:
Density functional theory data (PBE) for NaCuSiTe3 after structural relaxation.

- DFT total energy (eV/atom) = -3.53
- excess energy over the best structure of this formula in the dataset (meV per atom) = 0

Cell: 8.0600 3.9821 9.9237 Å, 90.00 106.05 90.00°
Space group P2_1/m (No. 11)
Inequivalent atoms, fractional coordinates:
Na: 0.2360 0.2500 0.3078 (multiplicity 2)
Cu: 0.0527 0.2500 0.5806 (multiplicity 2)
Si: 0.3230 0.7500 0.8577 (multiplicity 2)
Te: 0.0873 0.2500 0.8523 (multiplicity 2)
Te: 0.2680 0.7500 0.5711 (multiplicity 2)
Te: 0.4308 0.7500 0.1386 (multiplicity 2)

---

Entry 2:
Density functional theory data (PBE) for NaCuSiTe3 after structural relaxation.

- DFT total energy (eV/atom) = -3.48
- excess energy over the best structure of this formula in the dataset (meV per atom) = 46

Cell: 3.7662 14.4518 11.0692 Å, 90.00 90.00 90.00°
Space group Cmcm (No. 63)
Inequivalent atoms, fractional coordinates:
Na: 0.0000 0.2468 0.2500 (multiplicity 4)
Cu: 0.0000 0.0762 0.7500 (multiplicity 4)
Si: 0.0000 0.5000 0.0000 (multiplicity 4)
Te: 0.0000 0.1372 0.5330 (multiplicity 8)
Te: 0.0000 0.4488 0.7500 (multiplicity 4)

---

Entry 3:
Density functional theory data (PBE) for Na4ZnCu2Si after structural relaxation.

- DFT total energy (eV/atom) = -2.22

Cell: 4.6767 4.6767 6.5249 Å, 90.00 90.00 90.00°
Space group P-4m2 (No. 115)
Inequivalent atoms, fractional coordinates:
Na: 0.0000 0.0000 0.0000 (multiplicity 1)
Na: 0.0000 0.5000 0.2466 (multiplicity 2)
Na: 0.5000 0.5000 0.5000 (multiplicity 1)
Zn: 0.5000 0.5000 0.0000 (multiplicity 1)
Cu: 0.0000 0.5000 0.7239 (multiplicity 2)
Si: 0.0000 0.0000 0.5000 (multiplicity 1)

---

Entry 4:
Density functional theory data (PBE) for NaSmCu after structural relaxation.

- DFT total energy (eV/atom) = -2.60

Cell: 6.8887 6.8887 6.8887 Å, 90.00 90.00 90.00°
Space group F-43m (No. 216)
Inequivalent atoms, fractional coordinates:
Na: 0.0000 0.0000 0.0000 (multiplicity 4)
Sm: 0.2500 0.2500 0.7500 (multiplicity 4)
Cu: 0.0000 0.0000 0.5000 (multiplicity 4)